The following is a DFT calculation (PBE-GGA) of an optimized crystal structure of NaLuZnTe3.

- Density: 5.961 g/cm³
- Total magnetization: 0.00 μB/cell

```
12
Lattice="-1.477 3.497 1.937 0.401 -1.408 7.536 10.597 4.340 0.248" Properties=species:S:1:pos:R:3 pbc="T T T"
Te 3.979 3.105 6.806
Te 8.159 2.370 6.633
Te 9.504 4.947 3.007
Na 2.511 1.169 4.493
Lu 0.000 0.000 0.000
Lu 5.298 2.170 0.124
Zn 7.281 4.804 1.570
Na 7.009 5.260 5.227
Te 1.361 4.058 3.087
Zn 2.239 1.625 8.151
Te 5.541 3.323 2.915
Te 0.016 1.482 6.713
```

The following is a DFT calculation (PBE-GGA) of an optimized crystal structure of NaLuZnTe3.

- Density: 5.970 g/cm³
- Total magnetization: 0.01 μB/cell

```
24
Lattice="11.465 0.000 0.000 0.000 4.260 0.000 0.000 0.000 14.718" Properties=species:S:1:pos:R:3 pbc="T T T"
Lu 5.558 3.195 10.967
Te 0.909 3.195 1.595
Te 3.018 1.065 4.904
Te 6.277 1.065 13.001
Te 10.921 3.195 5.642
Zn 8.466 1.065 11.497
Zn 3.000 3.195 3.221
Lu 11.290 3.195 11.110
Lu 5.908 1.065 3.751
Na 2.595 3.195 7.559
Te 10.556 1.065 13.123
Te 6.642 3.195 5.764
Te 8.751 1.065 2.455
Te 0.544 1.065 9.076
Zn 2.733 1.065 10.581
Na 8.328 3.195 14.519
Na 8.870 1.065 7.160
Te 8.447 3.195 9.814
Zn 8.732 3.195 4.138
Te 2.714 3.195 12.264
Te 5.189 3.195 1.717
Lu 0.175 1.065 3.608
Na 3.138 1.065 0.200
Te 4.823 1.065 8.955
```

The following is a DFT calculation (PBE-GGA) of an optimized crystal structure of NaLuZnTe3.

- Density: 5.760 g/cm³
- Total magnetization: 0.01 μB/cell

```
12
Lattice="-8.646 -0.143 -1.155 0.315 -3.810 -1.890 1.713 -4.449 9.257" Properties=species:S:1:pos:R:3 pbc="T T T"
Te 0.038 -2.536 2.713
Zn -0.444 -1.420 0.382
Zn -6.173 -6.983 5.830
Te -1.759 -3.066 -1.330
Na -6.080 -4.042 -0.084
Lu -4.673 -3.917 4.711
Na -0.537 -4.361 6.296
Te -4.858 -5.336 7.541
Lu -1.944 -4.486 1.501
Te -4.203 -2.566 2.066
Te -2.414 -5.836 4.146
Te -6.655 -5.866 3.499
```

Number 1: offset from the most stable computed form 0 meV/atom. Number 2: offset from the most stable computed form 1 meV/atom. Number 3: offset from the most stable computed form 8 meV/atom.